Record 1
# CaMgZrRe2, optimized geometry, DFT PBE
# Volume (Å³/atom): 22.13
# D(E_F) (states/eV/cell): 7.0
# Formation energy (eV per formula unit): 8.47
# Mass density (g/cm3): 7.92
# Energy (eV per atom): -5.715
data_CaMgZrRe2
_chemical_formula_sum 'Ca1 Mg1 Zr1 Re2'
_symmetry_space_group_name_H-M 'P 4/m m m'
_symmetry_Int_Tables_number 123
_symmetry_space_group_name_Hall '-P 4 2'
_cell_length_a 4.744
_cell_length_b 4.744
_cell_length_c 4.917
_cell_angle_alpha 90.00
_cell_angle_beta 90.00
_cell_angle_gamma 90.00
loop_
_atom_site_label
_atom_site_type_symbol
_atom_site_fract_x
_atom_site_fract_y
_atom_site_fract_z
Ca1 Ca 0.000 0.000 0.000
Mg1 Mg 0.500 0.500 0.500
Zr1 Zr 0.500 0.500 0.000
Re1 Re 0.000 0.500 0.500



Record 2
# Ca8Mg2Rh, optimized geometry, DFT PBE
# Volume (Å³/atom): 33.63
# D(E_F) (states/eV/cell): 19.4
# Formation energy (eV per formula unit): -1.19
# Mass density (g/cm3): 2.12
# Energy (eV per atom): -2.522
data_Ca8Mg2Rh
_chemical_formula_sum 'Ca16 Mg4 Rh2'
_symmetry_space_group_name_H-M 'C 1 2/m 1'
_symmetry_Int_Tables_number 12
_symmetry_space_group_name_Hall '-C 2y'
_cell_length_a 19.083
_cell_length_b 5.716
_cell_length_c 7.248
_cell_angle_alpha 90.00
_cell_angle_beta 110.61
_cell_angle_gamma 90.00
loop_
_atom_site_label
_atom_site_type_symbol
_atom_site_fract_x
_atom_site_fract_y
_atom_site_fract_z
Ca1 Ca 0.015 0.000 0.287
Ca2 Ca 0.093 0.500 0.904
Ca3 Ca 0.139 0.500 0.443
Ca4 Ca 0.205 0.000 0.777
Mg1 Mg 0.182 0.000 0.218
Rh1 Rh 0.000 0.500 0.500



Record 3
# CaMg2Rh, optimized geometry, DFT PBE
# Volume (Å³/atom): 22.57
# D(E_F) (states/eV/cell): 9.0
# Formation energy (eV per formula unit): 0.21
# Mass density (g/cm3): 3.52
# Energy (eV per atom): -3.083
data_CaMg2Rh
_chemical_formula_sum 'Ca4 Mg8 Rh4'
_symmetry_space_group_name_H-M 'I -4 2 d'
_symmetry_Int_Tables_number 122
_symmetry_space_group_name_Hall 'I -4 2bw'
_cell_length_a 4.202
_cell_length_b 4.202
_cell_length_c 20.459
_cell_angle_alpha 90.00
_cell_angle_beta 90.00
_cell_angle_gamma 90.00
loop_
_atom_site_label
_atom_site_type_symbol
_atom_site_fract_x
_atom_site_fract_y
_atom_site_fract_z
Ca1 Ca 0.000 0.000 0.000
Mg1 Mg 0.210 0.250 0.625
Rh1 Rh 0.000 0.000 0.500